(1)
# K2FeRh

A crystal of K2FeRh relaxed with PBEsol (meta-GGA SCAN, Alexandria via LeMat-Bulk).

Unit cell a=5.1833 b=5.1833 c=5.1833 alpha=60.00 beta=60.00 gamma=60.00
With the nearest neighbours (Å) after each atom.
Positions (direct):
K 0.2500 0.2500 0.2500  4 Fe 3.17, 4 Rh 3.17
K 0.7500 0.7500 0.7500  4 Rh 3.17, 4 Fe 3.17
Rh 0.5000 0.5000 0.5000  8 K 3.17
Fe 0.0000 0.0000 0.0000  8 K 3.17

Summary:
Total DFT energy (no corrections) = -63.48 eV per formula unit
ΔE_f = 1.269 eV/atom
Polymorph energy (0 for the lowest one) = 0.3288 eV per atom

---

(2)
# K2FeRh

A crystal of K2FeRh relaxed with PBEsol (meta-GGA SCAN, Alexandria via LeMat-Bulk).

Unit cell a=2.9678 b=5.4776 c=5.4979 alpha=90.00 beta=119.24 gamma=90.00
With the nearest neighbours (Å) after each atom.
Positions (direct):
Rh 0.5000 0.5000 0.0000  4 Fe 2.75-2.90, 2 Rh 2.97
K 0.0023 0.0000 0.7520  6 K 2.73-2.97
K 0.9977 0.0000 0.2480  6 K 2.73-2.97
Fe 0.5000 0.5000 0.5000  4 Rh 2.75-2.90, 2 Fe 2.97

Summary:
Total DFT energy (no corrections) = -64.80 eV per formula unit
ΔE_f = 0.940 eV/atom
Polymorph energy (0 for the lowest one) = 0.0000 eV per atom

---

(3)
# KFeRh2

A crystal of KFeRh2 relaxed with PBEsol (meta-GGA SCAN, Alexandria via LeMat-Bulk).

Unit cell a=2.8945 b=4.6577 c=4.6577 alpha=90.00 beta=90.00 gamma=90.00
With the nearest neighbours (Å) after each atom.
Positions (direct):
K 0.5000 0.0000 0.0000  8 Rh 2.74, 2 K 2.89
Rh 0.0000 0.5000 0.0000  4 Fe 2.74, 4 K 2.74, 2 Rh 2.89
Rh 0.0000 0.0000 0.5000  4 Fe 2.74, 4 K 2.74, 2 Rh 2.89
Fe 0.5000 0.5000 0.5000  8 Rh 2.74, 2 Fe 2.89

Summary:
Total DFT energy (no corrections) = -90.61 eV per formula unit
ΔE_f = 0.848 eV/atom

---

(4)
# KFe2Ru

A crystal of KFe2Ru relaxed with PBEsol (meta-GGA SCAN, Alexandria via LeMat-Bulk).

Unit cell a=2.6725 b=4.2821 c=6.9087 alpha=95.32 beta=90.00 gamma=108.18
With the nearest neighbours (Å) after each atom.
Positions (direct):
K 0.4998 0.9995 0.5002  2 K 2.67
Ru 0.7273 0.4546 0.1370  5 Fe 2.42-2.43, 2 Ru 2.67
Fe 0.2790 0.5579 0.8556  3 Fe 2.36-2.64, 2 Ru 2.43
Fe 0.9940 0.9879 0.0072  3 Fe 2.36-2.64, 3 Ru 2.42-2.43

Summary:
Total DFT energy (no corrections) = -76.42 eV per formula unit
ΔE_f = 0.749 eV/atom
Polymorph energy (0 for the lowest one) = 0.1102 eV per atom

---

(5)
# K2FeRu

A crystal of K2FeRu relaxed with PBEsol (meta-GGA SCAN, Alexandria via LeMat-Bulk).

Unit cell a=5.2728 b=5.2728 c=5.2728 alpha=60.00 beta=60.00 gamma=60.00
With the nearest neighbours (Å) after each atom.
Positions (direct):
K 0.2500 0.2500 0.2500  4 Fe 3.23, 4 Ru 3.23
K 0.7500 0.7500 0.7500  4 Fe 3.23, 4 Ru 3.23
Ru 0.5000 0.5000 0.5000  8 K 3.23
Fe 0.0000 0.0000 0.0000  8 K 3.23

Summary:
Total DFT energy (no corrections) = -62.81 eV per formula unit
ΔE_f = 1.701 eV/atom
Polymorph energy (0 for the lowest one) = 0.9676 eV per atom

---

(6)
# K2FeRu

A crystal of K2FeRu relaxed with PBEsol (meta-GGA SCAN, Alexandria via LeMat-Bulk).

Unit cell a=2.9475 b=3.8743 c=10.2040 alpha=100.72 beta=98.30 gamma=90.00
With the nearest neighbours (Å) after each atom.
Positions (direct):
Fe 0.5000 0.0000 0.0000  4 Ru 2.43
Ru 0.0000 0.5000 0.0000  4 Fe 2.43
K 0.8555 0.8558 0.7111  2 K 2.95, 2 Fe 3.22
K 0.1445 0.1442 0.2889  2 K 2.95, 2 Fe 3.22

Summary:
Total DFT energy (no corrections) = -66.68 eV per formula unit
ΔE_f = 0.733 eV/atom
Polymorph energy (0 for the lowest one) = 0.0000 eV per atom

---

(7)
# KFe2Ru

A crystal of KFe2Ru relaxed with PBEsol (meta-GGA SCAN, Alexandria via LeMat-Bulk).

Unit cell a=2.6712 b=3.6543 c=7.3955 alpha=90.00 beta=93.52 gamma=90.00
With the nearest neighbours (Å) after each atom.
Positions (direct):
K 0.5000 0.5000 0.0000  2 K 2.67
Fe 0.9765 0.0000 0.3483  1 Fe 2.24
Fe 0.0235 0.0000 0.6517  1 Fe 2.24
Ru 0.5000 0.5000 0.5000  8 Fe 2.52-2.53, 2 Ru 2.67

Summary:
Total DFT energy (no corrections) = -76.86 eV per formula unit
ΔE_f = 0.639 eV/atom
Polymorph energy (0 for the lowest one) = 0.0000 eV per atom

---

(8)
# KFe2Ru

A crystal of KFe2Ru relaxed with PBEsol (meta-GGA SCAN, Alexandria via LeMat-Bulk).

Unit cell a=2.8033 b=2.8033 c=8.3937 alpha=90.00 beta=90.00 gamma=90.00
With the nearest neighbours (Å) after each atom.
Positions (direct):
Ru 0.5000 0.5000 0.8287  4 Fe 2.46
Fe 0.5000 0.5000 0.1628  4 Fe 2.40
Fe 0.0000 0.0000 0.0027  4 Fe 2.40, 4 Ru 2.46
K 0.0000 0.0000 0.5057  4 K 2.80

Summary:
Total DFT energy (no corrections) = -76.61 eV per formula unit
ΔE_f = 0.701 eV/atom
Polymorph energy (0 for the lowest one) = 0.0625 eV per atom

---

Which of these has the highest ΔE_f? number 5

---

Repeat the sixth record exactly.
# K2FeRu

A crystal of K2FeRu relaxed with PBEsol (meta-GGA SCAN, Alexandria via LeMat-Bulk).

Unit cell a=2.9475 b=3.8743 c=10.2040 alpha=100.72 beta=98.30 gamma=90.00
With the nearest neighbours (Å) after each atom.
Positions (direct):
Fe 0.5000 0.0000 0.0000  4 Ru 2.43
Ru 0.0000 0.5000 0.0000  4 Fe 2.43
K 0.8555 0.8558 0.7111  2 K 2.95, 2 Fe 3.22
K 0.1445 0.1442 0.2889  2 K 2.95, 2 Fe 3.22

Summary:
Total DFT energy (no corrections) = -66.68 eV per formula unit
ΔE_f = 0.733 eV/atom
Polymorph energy (0 for the lowest one) = 0.0000 eV per atom